Entry 1:
! Na2Tl4Pd PBE-GGA relaxed; values from VASP
! formation energy from the elements = -0.8 eV per formula unit
! energy above the most stable polymorph in this dataset = 0.00 eV per formula unit
! total magnetic moment = 0.0 Bohr magnetons per cell
! energy = -2.58 eV/atom
! ρ = 8.6 g/cm3
! V = 26.8 Å³/atom
&SYSTEM
  ibrav = 0, nat = 7, ntyp = 3
/
ATOMIC_SPECIES
Na 22.99 Na.upf
Tl 204.38 Tl.upf
Pd 106.42 Pd.upf
CELL_PARAMETERS angstrom
-4.3587 -2.1299 0.0276
1.0274 -2.0472 4.2766
-1.3992 8.4095 1.6100
ATOMIC_POSITIONS crystal
Na 0.7552 0.7552 0.5104
Na 0.2448 0.2448 0.4896
Tl 0.3983 0.8983 0.7967
Tl 0.8983 0.3983 0.7967
Tl 0.6017 0.1017 0.2033
Tl 0.1017 0.6017 0.2033
Pd 0.0000 0.0000 0.0000

=====

Entry 2:
! Tb6InSe5 PBE-GGA relaxed; values from VASP
! total magnetic moment = 0.0 Bohr magnetons per cell
! uncorrected formation energy = -1.54 eV/atom
! energy = -5.54 eV/atom
! ρ = 8.0 g/cm3
! V = 25.4 Å³/atom
&SYSTEM
  ibrav = 0, nat = 12, ntyp = 3
/
ATOMIC_SPECIES
Tb 158.93 Tb.upf
Se 78.96 Se.upf
In 114.82 In.upf
CELL_PARAMETERS angstrom
7.1043 0.1664 1.0756
1.7348 6.0515 3.5253
0.1147 0.0797 7.1902
ATOMIC_POSITIONS crystal
Tb 0.7470 0.0836 0.3382
Tb 0.2530 0.5782 0.3382
Tb 0.2507 0.2544 0.0000
Tb 0.7493 0.7456 0.0000
Tb 0.7470 0.4218 0.6618
Tb 0.2530 0.9164 0.6618
Se 0.5000 0.1654 0.6693
Se 0.0000 0.3331 0.3338
Se 0.5000 0.5000 0.0000
Se 0.0000 0.6669 0.6662
Se 0.5000 0.8346 0.3307
In 0.0000 0.0000 0.0000

=====

Entry 3:
! Li4PrEr PBE-GGA relaxed; values from VASP
! formation energy from the elements = 0.7 eV per formula unit
! total magnetic moment = 0.0 Bohr magnetons per cell
! energy = -2.72 eV/atom
! ρ = 3.8 g/cm3
! V = 24.2 Å³/atom
&SYSTEM
  ibrav = 0, nat = 6, ntyp = 3
/
ATOMIC_SPECIES
Pr 140.91 Pr.upf
Li 6.94 Li.upf
Er 167.26 Er.upf
CELL_PARAMETERS angstrom
-3.6312 4.5398 -0.9959
-3.9102 -0.2633 -4.4078
-5.7544 -0.5105 1.1892
ATOMIC_POSITIONS crystal
Pr 0.2500 0.2500 0.2500
Li 0.6255 0.6255 0.1235
Li 0.6255 0.1235 0.6255
Li 0.6255 0.6255 0.6255
Li 0.1235 0.6255 0.6255
Er 0.0000 0.0000 0.0000

=====

Entry 4:
! Nb2ZnCu PBE-GGA relaxed; values from VASP
! formation energy from the elements = 1.7 eV per formula unit
! total magnetic moment = 0.0 Bohr magnetons per cell
! energy = -5.96 eV/atom
! ρ = 7.7 g/cm3
! V = 17.0 Å³/atom
&SYSTEM
  ibrav = 0, nat = 4, ntyp = 3
/
ATOMIC_SPECIES
Nb 92.91 Nb.upf
Zn 65.41 Zn.upf
Cu 63.55 Cu.upf
CELL_PARAMETERS angstrom
-1.2054 0.3731 -2.4709
1.4574 -0.3931 -2.3279
-2.7375 -9.8321 -1.7070
ATOMIC_POSITIONS crystal
Nb 0.0874 0.0874 0.7378
Nb 0.9126 0.9126 0.2622
Zn 0.5000 0.5000 0.5000
Cu 0.0000 0.0000 0.0000

=====

Entry 5:
! La2Pr2Ga PBE-GGA relaxed; values from VASP
! formation energy from the elements = -0.9 eV per formula unit
! energy above the most stable polymorph in this dataset = 0.00 eV per formula unit
! total magnetic moment = 0.0 Bohr magnetons per cell
! energy = -4.66 eV/atom
! ρ = 6.5 g/cm3
! V = 32.2 Å³/atom
&SYSTEM
  ibrav = 0, nat = 10, ntyp = 3
/
ATOMIC_SPECIES
La 138.91 La.upf
Pr 140.91 Pr.upf
Ga 69.72 Ga.upf
CELL_PARAMETERS angstrom
8.6193 0.0000 0.7493
4.3096 4.8784 0.3746
4.4601 0.0000 8.0571
ATOMIC_POSITIONS crystal
La 0.7539 0.0000 0.4031
La 0.6051 0.0000 0.1195
La 0.3949 0.0000 0.8805
La 0.2461 0.0000 0.5969
Pr 0.6572 0.3841 0.7336
Pr 0.3428 0.6159 0.2664
Pr 0.0414 0.6159 0.7336
Pr 0.9586 0.3841 0.2664
Ga 0.1491 0.7018 0.0000
Ga 0.8509 0.2982 0.0000

=====

Question: Among the records above, which one has the highest ρ?
Answer: Na2Tl4Pd

=====

Question: The highest energy belongs to which entry?
Answer: Na2Tl4Pd